! HfTlFeCu GGA-PBE relaxed; values from VASP
! ΔE to the lowest computed polymorph ... 0.151 eV per atom
! Energy ... -23.11 eV per cell
! Total magnetic moment ... 2.38 Bohr magnetons per cell
&SYSTEM
  ibrav = 0, nat = 4, ntyp = 4
/
ATOMIC_SPECIES
Hf 178.49 Hf.upf
Tl 204.38 Tl.upf
Fe 55.84 Fe.upf
Cu 63.55 Cu.upf
CELL_PARAMETERS angstrom
0.000 3.253 3.253
3.253 0.000 3.253
3.253 3.253 0.000
ATOMIC_POSITIONS angstrom
Hf 0.000 0.000 0.000
Tl 1.626 1.626 1.626
Fe 3.253 3.253 3.253
Cu 4.879 4.879 4.879